VASP calculation (PBE) on Sr6Tl5 after structural relaxation.

Unit cell a=9.9923 b=9.9923 c=9.9923 alpha=146.51 beta=131.53 gamma=60.20
Closest atoms and distances in Å follow each position.
Atoms (fractional coordinates):
Sr  0.0879  0.3365  0.7514  7 Tl 3.50-3.54
Sr  0.2490  0.0000  0.2490  6 Tl 3.53-3.60
Sr  0.4150  0.6635  0.7514  7 Tl 3.50-3.54
Sr  0.5850  0.3365  0.2486  7 Tl 3.50-3.54
Sr  0.7510  0.0000  0.7510  6 Tl 3.53-3.60
Sr  0.9121  0.6635  0.2486  7 Tl 3.50-3.54
Tl  0.0000  0.5000  0.5000  8 Sr 3.50-3.53
Tl  0.1716  0.1716  0.0000  8 Sr 3.51-3.60
Tl  0.3294  0.8294  0.5000  8 Sr 3.53-3.60
Tl  0.6706  0.1706  0.5000  8 Sr 3.53-3.60
Tl  0.8284  0.8284  0.0000  8 Sr 3.51-3.60

Magnetic moment (μB per atom): 0.00
Calculated formation energy (kcal/mol of atoms): -8.643